Ta2SbRh after structural relaxation. Source: Alexandria, functional GGA-PBE.

For the spin magnetization, the calculation gives 0.00 μB per formula unit.

The space group is Cmmm (No. 65) and the conventional cell measures 5.623, 8.202 and 3.099 Å, with angles of 90.00, 90.00 and 90.00 degrees. The asymmetric unit holds Ta at (0.250, 0.250, 0.000), Sb at (0.000, 0.000, 0.500) and Rh at (0.000, 0.500, 0.500).

TaSb2Rh after structural relaxation. Source: Alexandria, functional GGA-PBE.

For the spin magnetization, the calculation gives 0.00 μB per formula unit.

The space group is Fm-3m (No. 225) and the conventional cell measures 6.739, 6.739 and 6.739 Å, with angles of 90.00, 90.00 and 90.00 degrees. The asymmetric unit holds Ta at (0.000, 0.000, 0.000), Sb at (0.250, 0.250, 0.250) and Rh at (0.000, 0.000, 0.500).

no.,DOS(E_F) (states/eV/atom),E_tot (eV/atom),ΔE_f (raw) (kJ/mol of atoms)
1,0.87,-8.8329,-4
2,0.24,-6.8191,4